# 1
# CsH GGA-PBEsol optimized geometry
# Uncorrected energy (eV per cell): -18.3
# Total magnetic moment (μB/f.u.): 0.00
data_CsH
_cell_length_a 6.198
_cell_length_b 6.198
_cell_length_c 6.198
_cell_angle_alpha 90.00
_cell_angle_beta 90.00
_cell_angle_gamma 90.00
_space_group_name_H-M_alt 'F m -3 m'
_space_group_IT_number 225
_space_group_name_Hall '-F 4 2 3'
loop_
_atom_site_label
_atom_site_type_symbol
_atom_site_fract_x
_atom_site_fract_y
_atom_site_fract_z
Cs1 Cs 0.000 0.000 0.000
H1 H 0.000 0.000 0.500

# 2
# NdZn GGA-PBEsol optimized geometry
# Calculated formation energy (eV per atom): -0.30
# Total magnetic moment (μB/f.u.): 0.00
data_NdZn
_cell_length_a 3.611
_cell_length_b 3.611
_cell_length_c 3.611
_cell_angle_alpha 90.00
_cell_angle_beta 90.00
_cell_angle_gamma 90.00
_space_group_name_H-M_alt 'P m -3 m'
_space_group_IT_number 221
_space_group_name_Hall '-P 4 2 3'
loop_
_atom_site_label
_atom_site_type_symbol
_atom_site_fract_x
_atom_site_fract_y
_atom_site_fract_z
Nd1 Nd 0.000 0.000 0.000
Zn1 Zn 0.500 0.500 0.500

What is the total magnetic moment in the first record?
0.00 μB/f.u.